Entry 1:
VASP calculation (PBE) on an optimized crystal structure of SrLaCu2As2. Values from VASP.

DFT formation energy = -0.8791 eV per atom
Symmetry = P-3m1, No. 164
Raw total energy = -0.3598 Ry per atom
Density = 6.267 g/cm3

The structure in Quantum ESPRESSO input format:
```
&SYSTEM
  ibrav = 0, nat = 6, ntyp = 4
/
ATOMIC_SPECIES
As 74.92 As.upf
Cu 63.55 Cu.upf
La 138.91 La.upf
Sr 87.62 Sr.upf
CELL_PARAMETERS angstrom
-3.3112 -0.1177 2.6272
3.3130 -2.5437 0.6587
3.6750 6.0562 4.9032
ATOMIC_POSITIONS crystal
As 0.3333 0.6667 0.2538
Cu 0.6667 0.3333 0.2683
Cu 0.3333 0.6667 0.7317
La 0.0000 0.0000 0.5000
Sr 0.0000 0.0000 0.0000
As 0.6667 0.3333 0.7462
```



Entry 2:
VASP calculation (PBE) on an optimized crystal structure of ZnBi6P2O15. Values from VASP.

Uncorrected formation energy = -156.6 kJ/mol of atoms
Symmetry = C2, No. 5
Raw total energy = -0.4554 Ry per atom
Density = 7.510 g/cm3

The structure in Quantum ESPRESSO input format:
```
&SYSTEM
  ibrav = 0, nat = 48, ntyp = 4
/
ATOMIC_SPECIES
O 16.00 O.upf
P 30.97 P.upf
Bi 208.98 Bi.upf
Zn 65.41 Zn.upf
CELL_PARAMETERS angstrom
8.2427 0.0078 -0.0084
6.3838 5.2143 -0.0084
4.0510 1.4463 16.6956
ATOMIC_POSITIONS crystal
O 0.3319 0.4813 0.3353
O 0.8360 0.9729 0.3399
P 0.7814 0.4996 0.4239
P 0.5004 0.2186 0.5761
O 0.7855 0.6606 0.3550
O 0.7669 0.9428 0.5569
O 0.9785 0.0784 0.8367
O 0.7233 0.9372 0.8491
O 0.0271 0.1640 0.6601
O 0.1752 0.9581 0.2920
Bi 0.7214 0.2337 0.7424
O 0.5187 0.6681 0.6647
Bi 0.6180 0.1887 0.0870
O 0.4024 0.1830 0.2623
P 0.4464 0.1337 0.8948
Zn 0.3526 0.0196 0.2306
Bi 0.1851 0.7674 0.4042
O 0.3359 0.3782 0.5024
Bi 0.2326 0.8149 0.5958
O 0.0419 0.8248 0.7080
Bi 0.7663 0.2786 0.2576
Zn 0.9804 0.6474 0.7694
O 0.8170 0.5976 0.7377
Bi 0.9014 0.5199 0.6103
O 0.2722 0.3919 0.8373
O 0.5308 0.3610 0.6051
O 0.4796 0.5904 0.8397
Bi 0.0794 0.6340 0.2437
O 0.9673 0.6578 0.0915
O 0.6218 0.6641 0.4976
O 0.0572 0.2331 0.4431
O 0.4506 0.2001 0.9701
O 0.6081 0.7278 0.1627
P 0.8663 0.5536 0.1052
O 0.0628 0.2767 0.1509
O 0.6390 0.4692 0.3949
O 0.9216 0.0215 0.1633
Bi 0.1528 0.7114 0.9215
Bi 0.4801 0.0986 0.3897
O 0.9556 0.0444 0.0000
O 0.3422 0.0327 0.9085
O 0.3394 0.2145 0.6450
O 0.4096 0.5204 0.1603
Bi 0.8113 0.3820 0.9130
Bi 0.2886 0.8472 0.0785
O 0.7999 0.5494 0.0299
O 0.4646 0.5354 0.0000
Bi 0.3660 0.9206 0.7563
```



Entry 3:
VASP calculation (PBE) on an optimized crystal structure of TlRhI2Br. Values from VASP.

Uncorrected formation energy = -24.9 kJ/mol of atoms
Symmetry = P4/mmm, No. 123
Raw total energy = -0.2319 Ry per atom
Density = 6.806 g/cm3

The structure in Quantum ESPRESSO input format:
```
&SYSTEM
  ibrav = 0, nat = 5, ntyp = 4
/
ATOMIC_SPECIES
Rh 102.91 Rh.upf
Br 79.90 Br.upf
Tl 204.38 Tl.upf
I 126.90 I.upf
CELL_PARAMETERS angstrom
-4.8202 -2.2780 1.3510
0.3633 -3.3476 -4.3486
2.4662 -3.4988 2.8995
ATOMIC_POSITIONS crystal
Rh 0.0000 0.0000 0.0000
Br 0.0000 0.0000 0.5000
Tl 0.5000 0.5000 0.5000
I 0.0000 0.5000 0.0000
I 0.5000 0.0000 0.0000
```



- Number 1 is which compound?
  SrLaCu2As2



- raw total energy of number 1 (SrLaCu2As2)?
  -0.3598 Ry per atom



- Among the records above, which one has the highest raw total energy?
  TlRhI2Br



- The lowest density belongs to which entry?
  SrLaCu2As2